i.
K4TlCd2: relaxed, PBE.

## Properties
Total magnetization ... 0.00 μB/cell

abc: 7.429 8.321 11.123
angles: 75.10 74.97 65.77
Fractional positions:
1 K 0.777 0.105 0.914
2 K 0.795 0.645 0.336
3 K 0.293 0.148 0.832
4 K 0.817 0.139 0.272
5 K 0.322 0.642 0.766
6 K 0.278 0.602 0.418
7 K 0.754 0.611 0.978
8 K 0.249 0.108 0.484
9 Tl 0.386 0.979 0.170
10 Tl 0.186 0.771 0.080
11 Cd 0.872 0.484 0.661
12 Cd 0.699 0.266 0.589
13 Cd 0.286 0.375 0.125
14 Cd 0.786 0.875 0.625

***

ii.
K4TlCd2: relaxed, PBE.

## Properties
Total magnetization ... 0.00 μB/cell

abc: 6.779 6.779 9.793
angles: 110.25 110.25 90.00
Fractional positions:
1 Tl 0.000 0.000 0.000
2 K 0.793 0.793 0.587
3 K 0.207 0.207 0.413
4 K 0.000 0.500 0.000
5 K 0.500 0.000 0.000
6 Cd 0.587 0.587 0.175
7 Cd 0.413 0.413 0.825

***

Top of the stability list: i, leading by 15.4 kJ/mol of atoms.

***

i.
KVCd3: relaxed, PBE.

## Properties
Total magnetization ... 4.43 μB/cell

abc: 6.088 6.088 6.088
angles: 90.00 90.00 90.00
Fractional positions:
1 K 0.000 0.000 0.000
2 Cd 0.000 0.500 0.000
3 Cd 0.000 0.000 0.500
4 Cd 0.500 0.000 0.000
5 V 0.500 0.500 0.500

***

ii.
KVCd3: relaxed, PBE.

## Properties
Total magnetization ... 4.13 μB/cell

abc: 5.459 5.459 5.459
angles: 90.00 90.00 90.00
Fractional positions:
1 K 0.500 0.500 0.500
2 Cd 0.000 0.500 0.000
3 Cd 0.000 0.000 0.500
4 Cd 0.500 0.000 0.000
5 V 0.000 0.000 0.000

***

Top of the stability list: ii, leading by 87.8 kJ/mol of atoms.

***

i.
KCdW: relaxed, PBE.

## Properties
Total magnetization ... 0.01 μB/cell

abc: 9.032 8.878 2.837
angles: 83.98 77.82 18.20
Fractional positions:
1 Cd 0.987 0.987 0.013
2 K 0.670 0.670 0.330
3 W 0.343 0.343 0.657

***

ii.
KCdW: relaxed, PBE.

## Properties
Total magnetization ... 0.00 μB/cell

abc: 8.711 8.711 8.711
angles: 161.30 161.30 26.57
Fractional positions:
1 Cd 0.018 0.018 0.000
2 K 0.329 0.329 0.000
3 W 0.653 0.653 0.000

***

iii.
KCdW: relaxed, PBE.

## Properties
Total magnetization ... 4.57 μB/cell

abc: 5.191 5.191 5.191
angles: 60.00 60.00 60.00
Fractional positions:
1 Cd 0.750 0.750 0.750
2 K 0.000 0.000 0.000
3 W 0.500 0.500 0.500

***

Top of the stability list: i, leading by 1.3 kJ/mol of atoms.